Density functional theory data (PBE) for an optimized crystal structure of K2In4BiAu3.

Geometry as POSCAR:
```
K2In4BiAu3
1.0
5.047 0.000 0.000
0.000 5.047 0.000
0.000 0.000 11.336
K Au In Bi
2 3 4 1
Direct
0.500 0.000 0.250 K
0.000 0.500 0.750 K
0.500 0.000 0.885 Au
0.000 0.000 0.500 Au
0.000 0.500 0.115 Au
0.000 0.500 0.356 In
0.500 0.500 0.000 In
0.000 0.000 0.000 In
0.500 0.000 0.644 In
0.500 0.500 0.500 Bi
```

D(E_F): 0.3939 states/eV per atom
Calculated formation energy: -0.262 eV per atom
Magnetization: 0.000 μB/cell